Below is LiSm2P3Rh4 after structural relaxation, with properties calculated at the GGA-PBE level.

The structure in POSCAR format:
```
LiSm2P3Rh4
1.0
4.0585 0.0000 0.0000
0.0000 4.0585 0.0000
0.0000 0.0000 9.8548
Li Sm P Rh
1 2 3 4
direct
0.5000 0.5000 0.5000
0.5000 0.0000 0.2540
0.0000 0.5000 0.7460
0.0000 0.0000 0.5000
0.5000 0.0000 0.8610
0.0000 0.5000 0.1390
0.5000 0.5000 0.0000
0.0000 0.0000 0.0000
0.5000 0.0000 0.6272
0.0000 0.5000 0.3728
```

**Symmetry**: P-4m2 (115)
**Total magnetization**: 0.0 Bohr magnetons per cell
**Energy of formation from the pure elements**: -1.06 eV per atom
**Total energy**: -67.60 eV for the cell shown



Below is ReOsRu after structural relaxation, with properties calculated at the GGA-PBE level.

The structure in POSCAR format:
```
ReOsRu
1.0
7.2108 -0.0212 0.0138
6.4803 2.5806 0.0029
0.7305 -1.0699 2.3717
Os Re Ru
1 1 1
direct
0.9991 0.9991 0.0009
0.3329 0.3329 0.6671
0.6680 0.6680 0.3320
```

**Symmetry**: Fmm2 (42)
**Total magnetization**: 0.5 Bohr magnetons per cell
**Energy of formation from the pure elements**: 0.52 eV per atom
**Total energy**: -31.40 eV for the cell shown



Below is AcLa4Y2 after structural relaxation, with properties calculated at the GGA-PBE level.

The structure in POSCAR format:
```
AcLa4Y2
1.0
5.9139 0.0000 0.0000
0.0000 9.6069 0.0000
0.0000 0.0000 9.6069
Ac La Y
2 8 4
direct
0.5000 0.0000 0.0000
0.0000 0.5000 0.5000
0.0000 0.1302 0.3959
0.0000 0.8698 0.6041
0.5000 0.1041 0.6302
0.5000 0.8959 0.3698
0.5000 0.3698 0.8959
0.5000 0.6302 0.1041
0.0000 0.3959 0.1302
0.0000 0.6041 0.8698
0.0000 0.1954 0.8046
0.0000 0.8046 0.1954
0.5000 0.6954 0.6954
0.5000 0.3046 0.3046
```

**Symmetry**: P4_2/mnm (136)
**Total magnetization**: 0.0 Bohr magnetons per cell
**Energy of formation from the pure elements**: 0.21 eV per atom
**Total energy**: -70.55 eV for the cell shown



Below is VH2N after structural relaxation, with properties calculated at the GGA-PBE level.

The structure in POSCAR format:
```
VH2N
1.0
-2.7348 -0.2851 0.0755
0.1256 -0.4888 2.7040
-2.0553 7.1862 2.7936
H V N
4 2 2
direct
0.8750 0.1250 0.2500
0.8750 0.6250 0.2500
0.3750 0.1250 0.7500
0.8750 0.1250 0.7500
0.0000 0.0000 0.0000
0.7500 0.2500 0.5000
0.5000 0.5000 0.0000
0.2500 0.7500 0.5000
```

**Symmetry**: I4_1/amd (141)
**Total magnetization**: 0.6 Bohr magnetons per cell
**Total energy**: -48.44 eV for the cell shown



Below is BeFeTc2 after structural relaxation, with properties calculated at the GGA-PBE level.

The structure in POSCAR format:
```
BeFeTc2
1.0
-4.1034 -0.2186 0.1702
-1.8554 -1.1440 3.4875
-2.1164 2.7540 2.2024
Be Tc Fe
1 2 1
direct
0.5000 0.5000 0.5000
0.0000 0.0000 0.0000
0.2500 0.2500 0.2500
0.7500 0.7500 0.7500
```

**Symmetry**: F-43m (216)
**Total magnetization**: 0.0 Bohr magnetons per cell
**Energy of formation from the pure elements**: 0.09 eV per atom
**Total energy**: -32.57 eV for the cell shown



Below is KHg3Pd after structural relaxation, with properties calculated at the GGA-PBE level.

The structure in POSCAR format:
```
KHg3Pd
1.0
-0.5963 5.9532 -0.4285
-12.4782 -1.5888 -4.7085
-2.3703 0.2096 6.2110
K Hg Pd
4 12 4
direct
0.0000 0.0000 0.5000
0.5000 0.5000 0.0000
0.5000 0.0000 0.0000
0.0000 0.5000 0.5000
0.0007 0.8807 0.9975
0.4993 0.3807 0.4975
0.4993 0.1193 0.4975
0.9993 0.3807 0.0025
0.9993 0.1193 0.0025
0.5007 0.6193 0.5025
0.5007 0.8807 0.5025
0.0007 0.6193 0.9975
0.4960 0.2500 0.8896
0.0040 0.7500 0.3896
0.5040 0.7500 0.1104
0.9960 0.2500 0.6104
0.7479 0.2500 0.2489
0.7521 0.7500 0.7489
0.2521 0.7500 0.7511
0.2479 0.2500 0.2511
```

**Symmetry**: Pnma (62)
**Total magnetization**: 0.0 Bohr magnetons per cell
**Energy of formation from the pure elements**: -0.20 eV per atom
**Total energy**: -32.71 eV for the cell shown